Rb2Cr2O7: optimized geometry, PBE with a Hubbard U.

Structure (POSCAR):
```
Rb2Cr2O7
1.0
-4.296 5.784 -2.591
-4.037 -6.917 0.245
0.073 2.531 7.567
Rb Cr O
4 4 14
direct
0.366 0.016 0.745
0.634 0.984 0.255
0.196 0.411 0.281
0.804 0.589 0.719
0.299 0.505 0.770
0.912 0.156 0.799
0.088 0.844 0.201
0.701 0.495 0.230
0.242 0.826 0.343
0.805 0.405 0.347
0.182 0.880 0.030
0.818 0.120 0.970
0.034 0.019 0.292
0.625 0.633 0.362
0.517 0.326 0.084
0.966 0.981 0.708
0.195 0.595 0.653
0.758 0.174 0.657
0.872 0.629 0.120
0.483 0.674 0.916
0.128 0.371 0.880
0.375 0.367 0.638
```

SG	No. 2
density	2.992	g/cm³
offset from the most stable computed form	3.4	meV per atom